# SrCo2Si

A relaxed SrCo2Si crystal (PBEsol, the Alexandria database).

Cell lengths 2.886, 2.885, 6.969 Å; angles 90.00, 90.01, 90.00 degrees
Fractional positions:
Co (0.999, 0.000, 0.822)
Co (0.001, 0.000, 0.178)
Si (0.500, 0.500, 0.000)
Sr (0.500, 0.500, 0.500)

Calculated values
Total moment ... 0.00 μB/atom
Formation energy without anion corrections ... 0.3 eV/f.u.
SG ... P4/mmm